1.
Density functional theory data (GGA-PBE) for crystalline DyHoScAl at its relaxed geometry.

## Properties
VASP energy	-4.92	eV per atom
energy above the lowest structure with this stoichiometry	89	meV/atom
calculated formation energy	-2.50	kcal/mol of atoms
total moment	0.00	μB/cell

extended XYZ file:
```
4
Lattice="0.0000 3.6919 3.6919 3.6919 0.0000 3.6919 3.6919 3.6919 0.0000" Properties=species:S:1:pos:R:3 pbc="T T T"
Dy 0.0000 0.0000 0.0000
Ho 3.6919 3.6919 3.6919
Sc 5.5378 5.5378 5.5378
Al 1.8459 1.8459 1.8459
```

=====

2.
Density functional theory data (GGA-PBE) for crystalline CrPt2 at its relaxed geometry.

## Properties
VASP energy	-7.22	eV per atom
calculated formation energy	0.36	kcal/mol of atoms
total moment	0.01	μB/cell

extended XYZ file:
```
6
Lattice="-3.1593 3.1593 2.2096 3.1593 -3.1593 2.2096 3.1593 3.1593 -2.2096" Properties=species:S:1:pos:R:3 pbc="T T T"
Cr 0.0000 0.0000 1.1048
Cr 0.0000 0.0000 3.3144
Pt 4.1255 0.9663 0.0000
Pt 0.9663 2.1930 0.0000
Pt 2.1930 0.9663 2.2096
Pt -0.9663 2.1930 2.2096
```

=====

3.
Density functional theory data (GGA-PBE) for crystalline LaHo14Zr at its relaxed geometry.

## Properties
VASP energy	-4.81	eV per atom
calculated formation energy	0.94	kcal/mol of atoms
total moment	0.00	μB/cell

extended XYZ file:
```
16
Lattice="7.0405 0.0000 0.0000 0.0000 7.0405 0.0000 0.0000 0.0000 9.8915" Properties=species:S:1:pos:R:3 pbc="T T T"
La 0.0000 0.0000 0.0000
Ho 0.0000 0.0000 4.9458
Ho 0.0000 3.5203 0.0000
Ho 0.0000 3.5203 4.9458
Ho 1.8028 1.8028 2.4392
Ho 1.8028 1.8028 7.4523
Ho 1.8028 5.2377 2.4392
Ho 1.8028 5.2377 7.4523
Ho 3.5203 0.0000 0.0000
Ho 3.5203 0.0000 4.9458
Ho 3.5203 3.5203 4.9458
Ho 5.2377 1.8028 2.4392
Ho 5.2377 1.8028 7.4523
Ho 5.2377 5.2377 2.4392
Ho 5.2377 5.2377 7.4523
Zr 3.5203 3.5203 0.0000
```

=====

4.
Density functional theory data (GGA-PBE) for crystalline CaSnAs2O8 at its relaxed geometry.

## Properties
VASP energy	-6.18	eV per atom
uncorrected formation energy	-1598	meV per atom
total moment	0.00	μB/cell

extended XYZ file:
```
12
Lattice="5.1942 0.0000 0.0000 -2.5971 4.4983 0.0000 0.0000 0.0000 7.2398" Properties=species:S:1:pos:R:3 pbc="T T T"
Ca 0.0000 0.0000 0.0000
Sn 0.0000 0.0000 3.6199
As 0.0000 2.9989 5.4963
As 2.5971 1.4994 1.7435
O -0.5805 1.4526 4.9693
O -1.0489 4.2748 4.9693
O 0.9677 1.2290 2.2706
O 0.0000 2.9989 7.1737
O 2.5971 1.4994 0.0662
O 1.6294 3.2693 4.9693
O 3.6460 0.2236 2.2706
O 3.1776 3.0458 2.2706
```

=====

5.
Density functional theory data (GGA-PBE) for crystalline PaCuSn2 at its relaxed geometry.

## Properties
VASP energy	-5.55	eV per atom
energy above the lowest structure with this stoichiometry	95	meV/atom
calculated formation energy	-3.44	kcal/mol of atoms
total moment	0.00	μB/cell

extended XYZ file:
```
4
Lattice="4.5442 0.0000 0.0000 0.0000 4.5442 0.0000 0.0000 0.0000 4.3853" Properties=species:S:1:pos:R:3 pbc="T T T"
Pa 0.0000 0.0000 0.0000
Cu 2.2721 2.2721 0.0000
Sn 0.0000 2.2721 2.1926
Sn 2.2721 0.0000 2.1926
```

=====

6.
Density functional theory data (GGA-PBE) for crystalline AcEuAlGe at its relaxed geometry.

## Properties
VASP energy	-6.05	eV per atom
calculated formation energy	-8.35	kcal/mol of atoms
total moment	7.08	μB/cell

extended XYZ file:
```
4
Lattice="0.0000 3.8492 3.8492 3.8492 0.0000 3.8492 3.8492 3.8492 0.0000" Properties=species:S:1:pos:R:3 pbc="T T T"
Ac 0.0000 0.0000 0.0000
Eu 3.8492 3.8492 3.8492
Al 1.9246 1.9246 1.9246
Ge 5.7739 5.7739 5.7739
```

=====

7.
Density functional theory data (GGA-PBE) for crystalline YbOF at its relaxed geometry.

## Properties
VASP energy	-5.97	eV per atom
uncorrected formation energy	-3182	meV per atom
total moment	2.05	μB/cell

extended XYZ file:
```
6
Lattice="3.8287 0.0000 0.0000 0.0000 3.8287 0.0000 0.0000 0.0000 5.5552" Properties=species:S:1:pos:R:3 pbc="T T T"
Yb 0.9572 0.9572 1.2387
Yb 2.8715 2.8715 4.3164
O 0.9572 2.8715 0.0000
O 2.8715 0.9572 0.0000
F 0.9572 2.8715 2.7776
F 2.8715 0.9572 2.7776
```

=====

8.
Density functional theory data (GGA-PBE) for crystalline Y2Tl2Zn at its relaxed geometry.

## Properties
VASP energy	-4.05	eV per atom
energy above the lowest structure with this stoichiometry	60	meV/atom
calculated formation energy	-6.03	kcal/mol of atoms
total moment	0.00	μB/cell

extended XYZ file:
```
10
Lattice="7.3856 0.0000 0.0000 0.0000 7.3856 0.0000 0.0000 0.0000 4.7778" Properties=species:S:1:pos:R:3 pbc="T T T"
Y 1.2366 2.4562 0.0000
Y 2.4562 6.1490 0.0000
Y 4.9293 1.2366 0.0000
Y 6.1490 4.9293 0.0000
Tl 1.0613 4.7541 2.3889
Tl 2.6315 1.0613 2.3889
Tl 4.7541 6.3243 2.3889
Tl 6.3243 2.6315 2.3889
Zn 0.0000 0.0000 2.3889
Zn 3.6928 3.6928 2.3889
```

=====

9.
Density functional theory data (GGA-PBE) for crystalline LiMgAlAu2 at its relaxed geometry.

## Properties
VASP energy	-3.23	eV per atom
calculated formation energy	-10.76	kcal/mol of atoms
total moment	0.00	μB/cell

extended XYZ file:
```
10
Lattice="6.2246 0.0000 0.0000 0.0000 4.1703 0.0000 -0.4664 0.0000 6.5197" Properties=species:S:1:pos:R:3 pbc="T T T"
Li 1.0602 1.0426 0.3421
Li 4.6979 3.1277 6.1777
Mg 1.2522 3.1277 5.0593
Mg 4.5059 1.0426 1.4605
Al 1.7704 1.0426 2.9037
Al 3.9877 3.1277 3.6160
Au -0.0141 3.1277 2.1845
Au 2.6769 3.1277 1.2702
Au 3.0812 1.0426 5.2496
Au 5.7722 1.0426 4.3353
```

=====

10.
Density functional theory data (GGA-PBE) for crystalline AlTl2VAg at its relaxed geometry.

## Properties
VASP energy	-3.32	eV per atom
calculated formation energy	17.62	kcal/mol of atoms
total moment	0.00	μB/cell

extended XYZ file:
```
5
Lattice="5.2345 0.0000 0.0000 0.0000 5.2345 0.0000 0.0000 0.0000 4.8990" Properties=species:S:1:pos:R:3 pbc="T T T"
Al 0.0000 0.0000 0.0000
Tl 0.0000 2.6172 2.4495
Tl 2.6172 0.0000 2.4495
V 0.0000 0.0000 2.4495
Ag 2.6172 2.6172 0.0000
```

=====

11.
Density functional theory data (GGA-PBE) for crystalline BaEu2Sn at its relaxed geometry.

## Properties
VASP energy	-6.89	eV per atom
energy above the lowest structure with this stoichiometry	89	meV/atom
calculated formation energy	-6.22	kcal/mol of atoms
total moment	15.79	μB/cell

extended XYZ file:
```
4
Lattice="0.0000 4.1216 4.1216 4.1216 0.0000 4.1216 4.1216 4.1216 0.0000" Properties=species:S:1:pos:R:3 pbc="T T T"
Ba 0.0000 0.0000 0.0000
Eu 2.0608 2.0608 2.0608
Eu 6.1824 6.1824 6.1824
Sn 4.1216 4.1216 4.1216
```

=====

12.
Density functional theory data (GGA-PBE) for crystalline AcSmGe2 at its relaxed geometry.

## Properties
VASP energy	-5.12	eV per atom
calculated formation energy	-13.93	kcal/mol of atoms
total moment	0.00	μB/cell

extended XYZ file:
```
4
Lattice="2.3986 1.3848 5.9289 -2.3986 1.3848 5.9289 0.0000 -2.7696 5.9289" Properties=species:S:1:pos:R:3 pbc="T T T"
Ac 0.0000 0.0000 0.0000
Sm 0.0000 0.0000 8.8934
Ge 0.0000 0.0000 4.1817
Ge 0.0000 0.0000 13.6050
```

=====

13.
Density functional theory data (GGA-PBE) for crystalline GaTe3C at its relaxed geometry.

## Properties
VASP energy	-2.59	eV per atom
uncorrected formation energy	1747	meV per atom
energy above the lowest structure with this stoichiometry	867	meV/atom
total moment	1.10	μB/cell

extended XYZ file:
```
5
Lattice="5.3595 0.0000 0.0000 0.0000 5.3595 0.0000 0.0000 0.0000 5.3595" Properties=species:S:1:pos:R:3 pbc="T T T"
Ga 0.0000 0.0000 0.0000
Te 0.0000 0.0000 2.6798
Te 0.0000 2.6798 0.0000
Te 2.6798 0.0000 0.0000
C 2.6798 2.6798 2.6798
```

=====

14.
Density functional theory data (GGA-PBE) for crystalline K2TaTi4 at its relaxed geometry.

## Properties
VASP energy	-5.24	eV per atom
calculated formation energy	29.48	kcal/mol of atoms
total moment	4.50	μB/cell

extended XYZ file:
```
7
Lattice="-2.5252 2.5252 8.9352 2.5252 -2.5252 8.9352 2.5252 2.5252 -8.9352" Properties=species:S:1:pos:R:3 pbc="T T T"
K 0.0000 0.0000 2.7523
K 0.0000 0.0000 15.1181
Ta 0.0000 0.0000 8.9352
Ti 2.5252 0.0000 0.0000
Ti 0.0000 0.0000 6.5546
Ti 0.0000 2.5252 0.0000
Ti 0.0000 0.0000 11.3158
```

=====

15.
Density functional theory data (GGA-PBE) for crystalline AlPbCl6 at its relaxed geometry.

## Properties
VASP energy	-3.35	eV per atom
uncorrected formation energy	-1033	meV per atom
total moment	0.00	μB/cell

extended XYZ file:
```
8
Lattice="5.8337 -3.5856 0.0000 5.8337 3.5856 0.0000 -3.7858 0.0000 5.4718" Properties=species:S:1:pos:R:3 pbc="T T T"
Al 0.0000 0.0000 0.0000
Pb 3.9409 0.0000 2.7359
Cl 2.2773 1.9627 3.8108
Cl 2.3185 0.0000 0.3725
Cl 5.6044 1.9627 1.6610
Cl 2.2773 -1.9627 3.8108
Cl 5.5632 0.0000 5.0993
Cl 5.6044 -1.9627 1.6610
```